one) First-principles (PBE-GGA) data for a relaxed TcSbP2Cl crystal, as listed in Alexandria.

M_tot: 0.000 Bohr magnetons per cell
N(E_F): 4.6 states/eV/f.u.

a = 4.6077 Å, b = 4.6077 Å, c = 4.9597 Å
α = 90.00°, β = 90.00°, γ = 90.00°
Closest atoms and distances in Å follow each position.
Positions (direct):
Tc1 0.0000 0.0000 0.0000  4 P 2.30, 2 Cl 2.48
Sb1 0.5000 0.5000 0.5000  4 Cl 3.26, 8 P 3.38
P1 0.0000 0.5000 0.0000  2 Tc 2.30
P2 0.5000 0.0000 0.0000  2 Tc 2.30
Cl1 0.0000 0.0000 0.5000  2 Tc 2.48


two) First-principles (PBE-GGA) data for a relaxed TcSbP2Cl crystal, as listed in Alexandria.

M_tot: 4.164 Bohr magnetons per cell
N(E_F): 3.4 states/eV/f.u.

a = 5.0949 Å, b = 5.0949 Å, c = 5.0309 Å
α = 90.00°, β = 90.00°, γ = 90.00°
Closest atoms and distances in Å follow each position.
Positions (direct):
Tc1 0.0000 0.0000 0.0000  8 P 3.58, 4 Cl 3.60
Sb1 0.5000 0.5000 0.5000  2 Cl 2.52, 4 P 2.55
P1 0.0000 0.5000 0.5000  2 Sb 2.55
P2 0.5000 0.0000 0.5000  2 Sb 2.55
Cl1 0.5000 0.5000 0.0000  2 Sb 2.52


In order of decreasing stability: one), two).


one) First-principles (PBE-GGA) data for a relaxed TiSbPCl2 crystal, as listed in Alexandria.

M_tot: 1.845 Bohr magnetons per cell
N(E_F): 13.8 states/eV/f.u.

a = 4.5975 Å, b = 4.5975 Å, c = 5.7077 Å
α = 90.00°, β = 90.00°, γ = 90.00°
Closest atoms and distances in Å follow each position.
Positions (direct):
Ti1 0.0000 0.0000 0.0000  4 Sb 3.25
Sb1 0.5000 0.5000 0.0000  2 P 2.85
P1 0.5000 0.5000 0.5000  4 Cl 2.30
Cl1 0.0000 0.5000 0.5000  2 P 2.30
Cl2 0.5000 0.0000 0.5000  2 P 2.30


two) First-principles (PBE-GGA) data for a relaxed TiSbPCl2 crystal, as listed in Alexandria.

M_tot: 2.251 Bohr magnetons per cell
N(E_F): 2.7 states/eV/f.u.

a = 5.1725 Å, b = 5.1725 Å, c = 5.2741 Å
α = 90.00°, β = 90.00°, γ = 90.00°
Closest atoms and distances in Å follow each position.
Positions (direct):
Ti1 0.0000 0.0000 0.0000  4 P 3.66, 8 Cl 3.69
Sb1 0.5000 0.5000 0.5000  4 Cl 2.59, 2 P 2.64
P1 0.5000 0.5000 0.0000  2 Sb 2.64
Cl1 0.0000 0.5000 0.5000  2 Sb 2.59
Cl2 0.5000 0.0000 0.5000  2 Sb 2.59


three) First-principles (PBE-GGA) data for a relaxed TiSbPCl2 crystal, as listed in Alexandria.

M_tot: 1.906 Bohr magnetons per cell
N(E_F): 3.0 states/eV/f.u.

a = 4.6352 Å, b = 4.6352 Å, c = 5.3397 Å
α = 90.00°, β = 90.00°, γ = 90.00°
Closest atoms and distances in Å follow each position.
Positions (direct):
Ti1 0.0000 0.0000 0.0000  4 Cl 2.32
Sb1 0.5000 0.5000 0.5000  4 P 3.28, 8 Cl 3.54
P1 0.0000 0.0000 0.5000  2 Ti 2.67
Cl1 0.0000 0.5000 0.0000  2 Ti 2.32
Cl2 0.5000 0.0000 0.0000  2 Ti 2.32


In order of decreasing stability: three), one), two).